PBE Al3ZnGa4, optimized geometry; energy relative to the elements = 0.100 eV/atom; volume = 20.81 A^3/atom; total magnetic moment = 0.000 μB per atom; E above lowest polymorph = 0.0000 eV/atom
1.0
8.2605 0.0000 0.0000
0.0000 7.5257 0.0000
0.0000 0.0000 5.3547
Al Zn Ga
6 2 8
Direct
0.0000 0.1576 0.0000
0.2468 0.6634 0.7606
0.2532 0.3366 0.2606
0.5000 0.8424 0.5000
0.7468 0.3366 0.2606
0.7532 0.6634 0.7606
0.0000 0.8155 0.0165
0.5000 0.1845 0.5165
0.0000 0.1774 0.4961
0.0000 0.8394 0.5212
0.2486 0.6800 0.2622
0.2514 0.3200 0.7622
0.5000 0.1606 0.0212
0.5000 0.8226 0.9961
0.7486 0.3200 0.7622
0.7514 0.6800 0.2622